# CsScU (PBE-GGA, optimized geometry)
data_CsScU
_chemical_formula_sum 'Cs4 Sc4 U4'
_space_group_name_H-M_alt 'F -4 3 m'
_space_group_IT_number 216
_space_group_name_Hall 'F -4 2 3'
_cell_length_a 8.092
_cell_length_b 8.092
_cell_length_c 8.092
_cell_angle_alpha 90.00
_cell_angle_beta 90.00
_cell_angle_gamma 90.00
loop_
_atom_site_label
_atom_site_type_symbol
_atom_site_fract_x
_atom_site_fract_y
_atom_site_fract_z
Cs1 Cs 0.000 0.000 0.000
Sc1 Sc 0.250 0.250 0.250
U1 U 0.000 0.000 0.500
# - ρ: 5.214 g/cm3
# - Magnetic moment: 25.38 Bohr magnetons per cell
# - Relative energy among the computed polymorphs: 0.000 eV per atom